No. 1
Compound: SrSb2Au3
Source: Alexandria
Functional: PBE
Structure: relaxed

## Properties
Formation energy (no corrections): -430 meV/atom

Unit cell a=5.127 b=7.746 c=9.193 alpha=114.58 beta=111.08 gamma=86.28
Element x y z (fractional)
Sr  0.851  0.884  0.696
Sb  0.458  0.200  0.030
Au  0.056  0.666  0.970
Sb  0.877  0.332  0.665
Sr  0.149  0.116  0.304
Au  0.676  0.407  0.383
Au  0.944  0.334  0.030
Sb  0.542  0.800  0.970
Au  0.324  0.593  0.617
Au  0.421  0.235  0.718
Au  0.579  0.765  0.282
Sb  0.123  0.668  0.335

---

No. 2
Compound: DyGa3Cu3
Source: Alexandria
Functional: PBE
Structure: relaxed

## Properties
Calculated formation energy: -284 meV per atom

Unit cell a=4.218 b=8.411 c=8.860 alpha=133.61 beta=90.00 gamma=90.00
Element x y z (fractional)
Ga  0.750  0.410  0.109
Dy  0.250  0.749  0.392
Cu  0.750  0.796  0.912
Ga  0.250  0.390  0.472
Ga  0.250  0.590  0.891
Dy  0.750  0.251  0.608
Cu  0.250  0.204  0.088
Ga  0.250  0.214  0.820
Cu  0.250  0.985  0.212
Ga  0.750  0.786  0.180
Ga  0.750  0.610  0.528
Cu  0.250  0.810  0.768
Cu  0.750  0.190  0.232
Cu  0.750  0.015  0.788